1.
## GaAgPb (PBE)

Data for crystalline GaAgPb at its relaxed geometry.

Results
- M_tot (μB/cell) = 0.0
- space-group type = P2_1/m (11)
- uncorrected energy (eV per atom) = -3.1382
- calculated formation energy (meV/atom) = 57

Cell: 3.6522 5.9927 6.5320 Å, 90.00 106.21 90.00°
Closest atoms and distances in Å follow each position.
Element x y z (fractional)
Ga: 0.1107 0.2500 0.2238  4 Ag 2.75
Ga: 0.8893 0.7500 0.7762  4 Ag 2.75
Ag: 0.5000 0.0000 0.0000  4 Ga 2.75, 2 Ag 3.00
Ag: 0.5000 0.5000 0.0000  4 Ga 2.75, 2 Ag 3.00
Pb: 0.1838 0.7500 0.3623  4 Ga 3.12-3.18, 4 Ag 3.27-3.28
Pb: 0.8162 0.2500 0.6377  4 Ga 3.12-3.18, 4 Ag 3.27-3.28

---

2.
## CaMg5Sn6 (PBE)

Data for crystalline CaMg5Sn6 at its relaxed geometry.

Results
- M_tot (μB/cell) = 0.0
- space-group type = C2/m (12)
- uncorrected energy (eV per atom) = -3.0422
- calculated formation energy (meV/atom) = -210

Cell: 8.6824 8.6824 4.7743 Å, 105.72 105.72 110.78°
Closest atoms and distances in Å follow each position.
Element x y z (fractional)
Ca: 0.0000 0.0000 0.0000  8 Sn 3.27-3.29, 4 Mg 3.42
Mg: 0.1713 0.8287 0.5000  8 Sn 3.12-3.32, 2 Mg 3.33, 2 Ca 3.42
Mg: 0.3339 0.6661 0.0000  8 Sn 3.16-3.22, 4 Mg 3.33-3.37
Mg: 0.5000 0.5000 0.5000  8 Sn 3.15-3.23, 4 Mg 3.37
Mg: 0.6661 0.3339 0.0000  8 Sn 3.16-3.22, 4 Mg 3.33-3.37
Mg: 0.8287 0.1713 0.5000  8 Sn 3.12-3.32, 2 Mg 3.33, 2 Ca 3.42
Sn: 0.0846 0.4231 0.2536  7 Mg 3.12-3.26, 1 Ca 3.27, 4 Sn 3.32-3.40
Sn: 0.2590 0.2590 0.7576  6 Mg 3.15-3.32, 2 Ca 3.27-3.29, 4 Sn 3.39-3.40
Sn: 0.4231 0.0846 0.2536  7 Mg 3.12-3.26, 1 Ca 3.27, 4 Sn 3.32-3.40
Sn: 0.5769 0.9154 0.7464  7 Mg 3.12-3.26, 1 Ca 3.27, 4 Sn 3.32-3.40
Sn: 0.7410 0.7410 0.2424  6 Mg 3.15-3.32, 2 Ca 3.27-3.29, 4 Sn 3.39-3.40
Sn: 0.9154 0.5769 0.7464  7 Mg 3.12-3.26, 1 Ca 3.27, 4 Sn 3.32-3.40

---

3.
## AlGaP2O8 (PBE)

Data for crystalline AlGaP2O8 at its relaxed geometry.

Results
- M_tot (μB/cell) = 0.0
- ΔE_f (raw) (eV per atom) = -2.3859
- space-group type = C2 (5)
- uncorrected energy (eV per atom) = -7.1571

Cell: 5.0904 5.0904 7.0823 Å, 90.39 90.39 89.86°
Closest atoms and distances in Å follow each position.
Element x y z (fractional)
Al: 0.0000 0.0000 0.0000  4 O 1.75
Ga: 0.6049 0.3951 0.5000  4 O 1.84
P: 0.1080 0.4998 0.7497  4 O 1.54-1.55
P: 0.5002 0.8920 0.2503  4 O 1.54-1.55
O: 0.0313 0.3190 0.9133  1 P 1.54
O: 0.0541 0.7852 0.8102  1 P 1.54
O: 0.2148 0.9459 0.1898  1 P 1.54
O: 0.4044 0.4674 0.7086  1 P 1.55
O: 0.5326 0.5956 0.2914  1 P 1.55
O: 0.5654 0.0466 0.4334  1 P 1.55
O: 0.6810 0.9687 0.0867  1 P 1.54
O: 0.9534 0.4346 0.5666  1 P 1.55

---

4.
## ZrI (PBE)

Data for crystalline ZrI at its relaxed geometry.

Results
- M_tot (μB/cell) = 0.0
- ΔE_f (raw) (eV per atom) = 0.6925
- space-group type = Pm-3n (223)
- uncorrected energy (eV per atom) = -4.3566

Cell: 7.9811 7.9811 7.9811 Å, 90.00 90.00 90.00°
Closest atoms and distances in Å follow each position.
Element x y z (fractional)
Zr: 0.0000 0.2500 0.5000  4 I 2.82
Zr: 0.0000 0.7500 0.5000  4 I 2.82
Zr: 0.2500 0.5000 0.0000  4 I 2.82
Zr: 0.5000 0.0000 0.2500  4 I 2.82
Zr: 0.5000 0.0000 0.7500  4 I 2.82
Zr: 0.7500 0.5000 0.0000  4 I 2.82
I: 0.0000 0.5000 0.2500  4 Zr 2.82
I: 0.0000 0.5000 0.7500  4 Zr 2.82
I: 0.2500 0.0000 0.5000  4 Zr 2.82
I: 0.5000 0.2500 0.0000  4 Zr 2.82
I: 0.5000 0.7500 0.0000  4 Zr 2.82
I: 0.7500 0.0000 0.5000  4 Zr 2.82

---

5.
## TbEr3Bi (PBE)

Data for crystalline TbEr3Bi at its relaxed geometry.

Results
- M_tot (μB/cell) = 0.0
- space-group type = Ima2 (46)
- uncorrected energy (eV per atom) = -4.2739
- calculated formation energy (meV/atom) = 166

Cell: 7.9162 7.9162 7.9162 Å, 87.18 114.19 129.75°
Closest atoms and distances in Å follow each position.
Element x y z (fractional)
Tb: 0.2430 0.2500 0.4930  2 Bi 3.19-3.20, 4 Er 3.21-3.28, 2 Tb 3.36
Tb: 0.7570 0.7500 0.5070  2 Bi 3.19-3.20, 4 Er 3.21-3.28, 2 Tb 3.36
Er: 0.1813 0.5044 0.1769  2 Bi 3.11-3.24, 2 Tb 3.21-3.28, 2 Er 3.26
Er: 0.2141 0.5329 0.7411  1 Tb 3.22, 4 Er 3.26-3.55, 2 Bi 3.34-3.54
Er: 0.2141 0.9730 0.1813  1 Tb 3.22, 4 Er 3.26-3.55, 2 Bi 3.34-3.54
Er: 0.3276 0.0044 0.8231  2 Bi 3.11-3.24, 2 Tb 3.21-3.28, 2 Er 3.26
Er: 0.7917 0.0329 0.8187  1 Tb 3.22, 4 Er 3.26-3.55, 2 Bi 3.34-3.54
Er: 0.7917 0.4730 0.2589  1 Tb 3.22, 4 Er 3.26-3.55, 2 Bi 3.34-3.54
Bi: 0.6707 0.9866 0.1841  4 Er 3.11-3.34, 2 Tb 3.19-3.20
Bi: 0.8025 0.4866 0.8159  4 Er 3.11-3.34, 2 Tb 3.19-3.20

---

6.
## Li2UBr5 (PBE)

Data for crystalline Li2UBr5 at its relaxed geometry.

Results
- M_tot (μB/cell) = 6.0
- ΔE_f (raw) (eV per atom) = -1.3191
- space-group type = Cm (8)
- uncorrected energy (eV per atom) = -4.2542

Cell: 12.6768 8.1840 7.4022 Å, 90.00 120.51 90.00°
Closest atoms and distances in Å follow each position.
Element x y z (fractional)
Li: 0.0000 0.2172 0.0000  4 Br 2.55-2.63
Li: 0.0000 0.7828 0.0000  4 Br 2.55-2.63
Li: 0.5000 0.2828 0.0000  4 Br 2.55-2.63
Li: 0.5000 0.7172 0.0000  4 Br 2.55-2.63
U: 0.1458 0.0000 0.5131  5 Br 2.77-2.93
U: 0.6458 0.5000 0.5131  5 Br 2.77-2.93
Br: 0.0383 0.0000 0.7775  2 Li 2.63, 1 U 2.90
Br: 0.1977 0.2701 0.3464  1 Li 2.55, 1 U 2.77
Br: 0.1977 0.7299 0.3464  1 Li 2.55, 1 U 2.77
Br: 0.3956 0.0000 0.8748  2 Li 2.59
Br: 0.4054 0.5000 0.1317  2 Li 2.60
Br: 0.5383 0.5000 0.7775  2 Li 2.63, 1 U 2.90
Br: 0.6977 0.2299 0.3464  1 Li 2.55, 1 U 2.77
Br: 0.6977 0.7701 0.3464  1 Li 2.55, 1 U 2.77
Br: 0.8956 0.5000 0.8748  2 Li 2.59
Br: 0.9054 0.0000 0.1317  2 Li 2.60

---

7.
## DyCoNiSn (PBE)

Data for crystalline DyCoNiSn at its relaxed geometry.

Results
- M_tot (μB/cell) = 5.4
- space-group type = F-43m (216)
- uncorrected energy (eV per atom) = -5.7133
- calculated formation energy (meV/atom) = -340

Cell: 6.4789 6.4789 6.4789 Å, 90.00 90.00 90.00°
Closest atoms and distances in Å follow each position.
Element x y z (fractional)
Dy: 0.0000 0.0000 0.0000  4 Co 2.81, 4 Ni 2.81
Dy: 0.0000 0.5000 0.5000  4 Co 2.81, 4 Ni 2.81
Dy: 0.5000 0.0000 0.5000  4 Co 2.81, 4 Ni 2.81
Dy: 0.5000 0.5000 0.0000  4 Co 2.81, 4 Ni 2.81
Co: 0.2500 0.2500 0.2500  4 Sn 2.81, 4 Dy 2.81
Co: 0.2500 0.7500 0.7500  4 Sn 2.81, 4 Dy 2.81
Co: 0.7500 0.2500 0.7500  4 Sn 2.81, 4 Dy 2.81
Co: 0.7500 0.7500 0.2500  4 Sn 2.81, 4 Dy 2.81
Ni: 0.2500 0.2500 0.7500  4 Sn 2.81, 4 Dy 2.81
Ni: 0.2500 0.7500 0.2500  4 Sn 2.81, 4 Dy 2.81
Ni: 0.7500 0.2500 0.2500  4 Sn 2.81, 4 Dy 2.81
Ni: 0.7500 0.7500 0.7500  4 Sn 2.81, 4 Dy 2.81
Sn: 0.0000 0.0000 0.5000  4 Ni 2.81, 4 Co 2.81
Sn: 0.0000 0.5000 0.0000  4 Co 2.81, 4 Ni 2.81
Sn: 0.5000 0.0000 0.0000  4 Co 2.81, 4 Ni 2.81
Sn: 0.5000 0.5000 0.5000  4 Co 2.81, 4 Ni 2.81

---

8.
## KTbCdTe3 (PBE)

Data for crystalline KTbCdTe3 at its relaxed geometry.

Results
- M_tot (μB/cell) = 0.0
- ΔE_f (raw) (eV per atom) = -1.0548
- space-group type = P2_1/m (11)
- uncorrected energy (eV per atom) = -3.7328

Cell: 9.5410 4.5182 10.7963 Å, 90.00 107.53 90.00°
Closest atoms and distances in Å follow each position.
Element x y z (fractional)
K: 0.2115 0.2500 0.2390  7 Te 3.55-3.92
K: 0.7885 0.7500 0.7610  7 Te 3.55-3.92
Tb: 0.3276 0.7500 0.8625  6 Te 3.06-3.31
Tb: 0.6724 0.2500 0.1375  6 Te 3.06-3.31
Cd: 0.0836 0.2500 0.6077  4 Te 2.80-2.99
Cd: 0.9164 0.7500 0.3923  4 Te 2.80-2.99
Te: 0.1018 0.2500 0.8718  1 Cd 2.80
Te: 0.2356 0.7500 0.5417  3 Cd 2.89-2.99
Te: 0.4584 0.7500 0.1585  3 Tb 3.06-3.10
Te: 0.5416 0.2500 0.8415  3 Tb 3.06-3.10
Te: 0.7644 0.2500 0.4583  3 Cd 2.89-2.99
Te: 0.8982 0.7500 0.1282  1 Cd 2.80

---

The highest uncorrected energy belongs to which entry?
CaMg5Sn6